Entry 1:
An optimized crystal structure of NpPaNb, computed with GGA-PBE.

The structure in POSCAR format:
```
NpPaNb
1.0
7.346 0.000 0.000
0.000 5.586 0.000
-0.833 0.000 6.178
Np Pa Nb
4 4 4
Direct
0.234 0.117 0.463
0.234 0.383 0.963
0.766 0.617 0.037
0.766 0.883 0.537
0.113 0.605 0.315
0.113 0.895 0.815
0.887 0.105 0.185
0.887 0.395 0.685
0.454 0.648 0.675
0.454 0.852 0.175
0.546 0.148 0.825
0.546 0.352 0.325
```

spin magnetization = 11.15 μB/cell
total energy = -10.57 eV/atom
energy above the lowest structure with this stoichiometry = 78 meV per atom
V = 21.1 Å³ per atom
energy of formation = 0.265 eV per atom

---

Entry 2:
An optimized crystal structure of NpPaNb, computed with GGA-PBE.

The structure in POSCAR format:
```
NpPaNb
1.0
-1.767 1.767 5.033
1.767 -1.767 5.033
1.767 1.767 -5.033
Np Pa Nb
1 1 1
Direct
0.000 0.000 0.000
0.349 0.349 0.000
0.666 0.666 0.000
```

spin magnetization = 2.17 μB/cell
total energy = -10.60 eV/atom
energy above the lowest structure with this stoichiometry = 44 meV per atom
V = 20.9 Å³ per atom
energy of formation = 0.231 eV per atom

---

Entry 3:
An optimized crystal structure of NpPaNb, computed with GGA-PBE.

The structure in POSCAR format:
```
NpPaNb
1.0
4.950 0.000 0.000
-2.475 4.287 0.000
0.000 0.000 2.895
Np Pa Nb
1 1 1
Direct
0.000 0.000 0.000
0.333 0.667 0.000
0.667 0.333 0.500
```

spin magnetization = 1.88 μB/cell
total energy = -10.65 eV/atom
energy above the lowest structure with this stoichiometry = 0 meV per atom
V = 20.5 Å³ per atom
energy of formation = 0.187 eV per atom

---

Q: Look up the energy of formation of the third one.
A: 0.187 eV per atom

---

Please write out number 3 again, unchanged.
An optimized crystal structure of NpPaNb, computed with GGA-PBE.

The structure in POSCAR format:
```
NpPaNb
1.0
4.950 0.000 0.000
-2.475 4.287 0.000
0.000 0.000 2.895
Np Pa Nb
1 1 1
Direct
0.000 0.000 0.000
0.333 0.667 0.000
0.667 0.333 0.500
```

spin magnetization = 1.88 μB/cell
total energy = -10.65 eV/atom
energy above the lowest structure with this stoichiometry = 0 meV per atom
V = 20.5 Å³ per atom
energy of formation = 0.187 eV per atom

---

Q: Number 2 is which compound?
A: NpPaNb

---

Q: Which formula does entry 1 have?
A: NpPaNb